Computed, not measured: an optimized crystal structure of CaRe2Te at the PBE level of DFT.

CIF file:
```
data_CaRe2Te
_space_group_name_H-M_alt 'R 3 m'
_space_group_IT_number 160
_space_group_name_Hall 'R 3 -2"'
_cell_length_a 4.2280
_cell_length_b 4.2280
_cell_length_c 18.6047
_cell_angle_alpha 90.00
_cell_angle_beta 90.00
_cell_angle_gamma 120.00
loop_
_atom_site_label
_atom_site_type_symbol
_atom_site_fract_x
_atom_site_fract_y
_atom_site_fract_z
Ca1 Ca 0.0000 0.0000 0.0000
Re1 Re 0.0000 0.0000 0.4669
Re2 Re 0.0000 0.0000 0.7759
Te1 Te 0.0000 0.0000 0.2094
```

Results
For the raw formation energy, the calculation gives 0.100 eV per atom. As for the total DFT energy (no corrections): -7.410 eV/atom.